! CdNi2Hg, optimized geometry, DFT PBE-GGA; values from VASP
! * raw total energy: -12.1 eV for the cell shown
! * ΔE_f: 0.1789 eV/atom
! * magnetization: 0.000 μB/atom
! * Fermi-level density of states: 2.290 states/eV/cell
&SYSTEM
  ibrav = 0, nat = 4, ntyp = 3
/
ATOMIC_SPECIES
Ni 58.69 Ni.upf
Cd 112.41 Cd.upf
Hg 200.59 Hg.upf
ATOMIC_POSITIONS crystal
Ni 0.5000 0.0789 0.2682
Ni 0.0000 0.1683 0.9836
Cd 0.0000 0.5119 0.4364
Hg 0.5000 0.7409 0.8118
CELL_PARAMETERS angstrom
-0.2621 4.1732 -0.9938
-0.9154 -0.7020 -2.7063
-5.0887 -0.1646 0.6506